RbTaSb PBE optimized geometry; energy above the most stable polymorph in this dataset = 0.013 eV per atom; SG = Immm (71); ρ = 5.933 Mg/m³; size of the total moment = 0.00 μB/cell
1.0
-0.865 -3.972 1.137
2.115 0.480 3.289
-21.389 8.250 12.551
Ta Sb Rb
4 4 4
Direct
0.000 0.500 0.500
0.000 0.500 0.000
0.500 0.000 0.500
0.500 0.000 0.000
0.000 0.000 0.079
0.500 0.500 0.421
0.000 0.000 0.921
0.500 0.500 0.579
0.000 0.000 0.659
0.000 0.000 0.341
0.500 0.500 0.159
0.500 0.500 0.841